1.
The following is a PBE calculation of a relaxed SrSc2RuO8 crystal, from the Alexandria database.

The uncorrected formation energy is -47.51 kcal/mol of atoms. As for the total energy: -88.0 eV for the cell shown.

The structure belongs to space group P-1 (No. 2); the cell edges are 4.5109, 4.9561 and 6.8867 Å and the angles 89.98°, 89.93° and 89.99°. Symmetry generates all atoms from Sr at (0.0000, 0.0000, 0.0000), Sc at (0.4997, 0.5001, 0.2689), Ru at (0.0000, 0.0000, 0.5000), O at (0.2420, 0.8482, 0.6947), O at (0.2428, 0.8492, 0.3048), O at (0.2553, 0.3239, 0.5003) and O at (0.2617, 0.4656, 0.0001).

2.
The following is a PBE calculation of a relaxed GaReBr2 crystal, from the Alexandria database.

The uncorrected formation energy is 25.46 kcal/mol of atoms. As for the total energy: -57.6 eV for the cell shown. The energy relative to the lowest polymorph listed for this composition is 708 meV per atom.

The structure belongs to space group Fm-3m (No. 225); the cell edges are 6.7290, 6.7290 and 6.7290 Å and the angles 90.00°, 90.00° and 90.00°. Symmetry generates all atoms from Ga at (0.0000, 0.0000, 0.0000), Re at (0.0000, 0.0000, 0.5000) and Br at (0.2500, 0.2500, 0.2500).

3.
The following is a PBE calculation of a relaxed Zr2Si4Ru3 crystal, from the Alexandria database.

The uncorrected formation energy is -17.99 kcal/mol of atoms. As for the total energy: -147.3 eV for the cell shown. The energy relative to the lowest polymorph listed for this composition is 100 meV per atom.

The structure belongs to space group P2_1/c (No. 14); the cell edges are 6.4955, 6.5090 and 6.8680 Å and the angles 90.00°, 110.92° and 90.00°. Symmetry generates all atoms from Zr at (0.1893, 0.1684, 0.0707), Si at (0.0984, 0.5609, 0.8697), Si at (0.4801, 0.6438, 0.6242), Ru at (0.2396, 0.6346, 0.2514) and Ru at (0.5000, 0.0000, 0.5000).

4.
The following is a PBE calculation of a relaxed Ag2WCl crystal, from the Alexandria database.

The uncorrected formation energy is 19.34 kcal/mol of atoms. As for the total energy: -17.1 eV for the cell shown. The energy relative to the lowest polymorph listed for this composition is 472 meV per atom.

The structure belongs to space group Pmmm (No. 47); the cell edges are 2.8515, 4.7169 and 5.3040 Å and the angles 90.00°, 90.00° and 90.00°. Symmetry generates all atoms from Ag at (0.0000, 0.0000, 0.0000), Ag at (0.5000, 0.5000, 0.0000), W at (0.0000, 0.5000, 0.5000) and Cl at (0.5000, 0.0000, 0.5000).

5.
The following is a PBE calculation of a relaxed TmMnGe2Ir crystal, from the Alexandria database.

As for the total energy: -69.4 eV for the cell shown. The formation energy is -0.59 eV/atom.

The structure belongs to space group I-4m2 (No. 119); the cell edges are 4.0260, 4.0260 and 10.6439 Å and the angles 90.00°, 90.00° and 90.00°. Symmetry generates all atoms from Tm at (0.0000, 0.0000, 0.0000), Mn at (0.0000, 0.5000, 0.2500), Ge at (0.0000, 0.0000, 0.3846) and Ir at (0.0000, 0.5000, 0.7500).

6.
The following is a PBE calculation of a relaxed PuNpAs crystal, from the Alexandria database.

As for the total energy: -32.3 eV for the cell shown. The formation energy is -0.12 eV/atom. The energy relative to the lowest polymorph listed for this composition is 224 meV per atom.

The structure belongs to space group P3m1 (No. 156); the cell edges are 4.5409, 4.5409 and 3.2401 Å and the angles 90.00°, 90.00° and 120.00°. Symmetry generates all atoms from Pu at (0.0000, 0.0000, 0.0000), Np at (0.3333, 0.6667, 0.8174) and As at (0.6667, 0.3333, 0.3668).

7.
The following is a PBE calculation of a relaxed KHfSe2 crystal, from the Alexandria database.

The uncorrected formation energy is -22.70 kcal/mol of atoms. As for the total energy: -87.8 eV for the cell shown.

The structure belongs to space group I-42d (No. 122); the cell edges are 7.7621, 7.7621 and 8.6010 Å and the angles 90.00°, 90.00° and 90.00°. Symmetry generates all atoms from K at (0.0000, 0.0000, 0.0000), Hf at (0.0000, 0.0000, 0.5000) and Se at (0.1707, 0.7500, 0.6250).

8.
The following is a PBE calculation of a relaxed Hf2BeCuIr2 crystal, from the Alexandria database.

As for the total energy: -197.1 eV for the cell shown. The formation energy is -0.64 eV/atom.

The structure belongs to space group Ibam (No. 72); the cell edges are 5.4179, 13.2440 and 5.2945 Å and the angles 90.00°, 90.00° and 90.00°. Symmetry generates all atoms from Hf at (0.1992, 0.1708, 0.0000), Be at (0.0000, 0.5000, 0.2500), Cu at (0.0000, 0.0000, 0.2500) and Ir at (0.1943, 0.3737, 0.0000).

9.
The following is a PBE calculation of a relaxed Zn2CrIn crystal, from the Alexandria database.

As for the total energy: -27.1 eV for the cell shown. The formation energy is 0.33 eV/atom.

The structure belongs to space group Cm (No. 8); the cell edges are 10.2732, 2.8375 and 4.9284 Å and the angles 90.00°, 117.22° and 90.00°. Symmetry generates all atoms from Zn at (0.0000, 0.0000, 0.0000), Zn at (0.2393, 0.0000, 0.8859), Cr at (0.0138, 0.5000, 0.4790) and In at (0.2685, 0.5000, 0.4093).

10.
The following is a PBE calculation of a relaxed MnGeMoPt crystal, from the Alexandria database.

As for the total energy: -125.2 eV for the cell shown. The formation energy is -0.16 eV/atom.

The structure belongs to space group F-43m (No. 216); the cell edges are 6.1714, 6.1714 and 6.1714 Å and the angles 90.00°, 90.00° and 90.00°. Symmetry generates all atoms from Mn at (0.0000, 0.0000, 0.0000), Ge at (0.0000, 0.0000, 0.5000), Mo at (0.2500, 0.2500, 0.7500) and Pt at (0.2500, 0.2500, 0.2500).

11.
The following is a PBE calculation of a relaxed KBrN3 crystal, from the Alexandria database.

The uncorrected formation energy is 56.51 kcal/mol of atoms. As for the total energy: -31.0 eV for the cell shown.

The structure belongs to space group Cm (No. 8); the cell edges are 6.7068, 6.6794 and 8.0775 Å and the angles 90.00°, 104.07° and 90.00°. Symmetry generates all atoms from K at (0.0000, 0.0000, 0.0000), Br at (0.4943, 0.0000, 0.9870), N at (0.1658, 0.5000, 0.6547) and N at (0.3156, 0.2545, 0.2795).

12.
The following is a PBE calculation of a relaxed MgNpOs crystal, from the Alexandria database.

As for the total energy: -50.3 eV for the cell shown. The formation energy is 0.20 eV/atom.

The structure belongs to space group I4mm (No. 107); the cell edges are 3.1723, 3.1723 and 12.1001 Å and the angles 90.00°, 90.00° and 90.00°. Symmetry generates all atoms from Mg at (0.0000, 0.0000, 0.0000), Np at (0.0000, 0.0000, 0.2773) and Os at (0.0000, 0.0000, 0.6415).

13.
The following is a PBE calculation of a relaxed LaTaZn2Au crystal, from the Alexandria database.

As for the total energy: -14.2 eV for the cell shown. The formation energy is 1.68 eV/atom.

The structure belongs to space group P4/mmm (No. 123); the cell edges are 5.4442, 5.4442 and 5.2177 Å and the angles 90.00°, 90.00° and 90.00°. Symmetry generates all atoms from La at (0.0000, 0.0000, 0.0000), Ta at (0.0000, 0.0000, 0.5000), Zn at (0.0000, 0.5000, 0.0000) and Au at (0.5000, 0.5000, 0.5000).

14.
The following is a PBE calculation of a relaxed Cd2Co2Hg crystal, from the Alexandria database.

As for the total energy: -27.1 eV for the cell shown. The formation energy is 0.56 eV/atom. The energy relative to the lowest polymorph listed for this composition is 264 meV per atom.

The structure belongs to space group I4/mmm (No. 139); the cell edges are 3.9250, 3.9250 and 12.1092 Å and the angles 90.00°, 90.00° and 90.00°. Symmetry generates all atoms from Cd at (0.0000, 0.5000, 0.2500), Co at (0.0000, 0.0000, 0.0896) and Hg at (0.0000, 0.0000, 0.5000).

15.
The following is a PBE calculation of a relaxed LiNpZn17 crystal, from the Alexandria database.

As for the total energy: -112.3 eV for the cell shown. The formation energy is -0.05 eV/atom.

The structure belongs to space group R3m (No. 160, hexagonal axes); the cell edges are 8.9613, 8.9613 and 13.1902 Å and the angles 90.00°, 90.00° and 120.00°. Symmetry generates all atoms from Li at (0.0000, 0.0000, 0.0000), Np at (0.0000, 0.0000, 0.3203), Zn at (0.0000, 0.0000, 0.5593), Zn at (0.0000, 0.0000, 0.7636), Zn at (0.0040, 0.3028, 0.6579), Zn at (0.0107, 0.5053, 0.1548), Zn at (0.0152, 0.5076, 0.8098) and Zn at (0.1684, 0.3369, 0.8419).

16.
The following is a PBE calculation of a relaxed NdThRh crystal, from the Alexandria database.

As for the total energy: -42.0 eV for the cell shown. The formation energy is -0.49 eV/atom. The energy relative to the lowest polymorph listed for this composition is 0 meV per atom.

The structure belongs to space group P2_1/m (No. 11); the cell edges are 5.2566, 4.9798 and 6.4494 Å and the angles 90.00°, 104.27° and 90.00°. Symmetry generates all atoms from Nd at (0.0490, 0.2500, 0.1612), Th at (0.4112, 0.2500, 0.7107) and Rh at (0.1523, 0.7500, 0.4346).

17.
The following is a PBE calculation of a relaxed PmErAl crystal, from the Alexandria database.

As for the total energy: -13.5 eV for the cell shown. The formation energy is -0.14 eV/atom. The energy relative to the lowest polymorph listed for this composition is 92 meV per atom.

The structure belongs to space group P3m1 (No. 156); the cell edges are 5.0931, 5.0931 and 3.6200 Å and the angles 90.00°, 90.00° and 120.00°. Symmetry generates all atoms from Pm at (0.0000, 0.0000, 0.0000), Er at (0.6667, 0.3333, 0.5583) and Al at (0.3333, 0.6667, 0.3362).

18.
The following is a PBE calculation of a relaxed YEr2ScTe6 crystal, from the Alexandria database.

The uncorrected formation energy is -30.21 kcal/mol of atoms. As for the total energy: -161.6 eV for the cell shown.

The structure belongs to space group R3 (No. 146, hexagonal axes); the cell edges are 7.5624, 7.5624 and 20.7465 Å and the angles 90.00°, 90.00° and 120.00°. Symmetry generates all atoms from Y at (0.0000, 0.0000, 0.0000), Er at (0.0000, 0.0000, 0.3145), Er at (0.0000, 0.0000, 0.8163), Sc at (0.0000, 0.0000, 0.4981), Te at (0.0177, 0.3379, 0.5739) and Te at (0.0249, 0.6689, 0.0771).

19.
The following is a PBE calculation of a relaxed KRb2BiF8 crystal, from the Alexandria database.

The uncorrected formation energy is -55.09 kcal/mol of atoms. As for the total energy: -101.1 eV for the cell shown.

The structure belongs to space group I-4m2 (No. 119); the cell edges are 6.2062, 6.2062 and 11.8302 Å and the angles 90.00°, 90.00° and 90.00°. Symmetry generates all atoms from K at (0.0000, 0.0000, 0.0000), Rb at (0.0000, 0.0000, 0.5000), Rb at (0.0000, 0.5000, 0.7500), Bi at (0.0000, 0.5000, 0.2500) and F at (0.2011, 0.2953, 0.1434).

20.
The following is a PBE calculation of a relaxed CeCo3Ni crystal, from the Alexandria database.

As for the total energy: -132.9 eV for the cell shown. The formation energy is -0.04 eV/atom.

The structure belongs to space group Imma (No. 74); the cell edges are 4.7239, 6.5810 and 9.2912 Å and the angles 90.00°, 90.00° and 90.00°. Symmetry generates all atoms from Ce at (0.0000, 0.0000, 0.0000), Co at (0.0000, 0.0681, 0.2968), Co at (0.2500, 0.2500, 0.7500) and Ni at (0.0000, 0.2500, 0.5247).